Here is RbNaEuBi after structural relaxation from the Alexandria database. Energies are from PBE-GGA.

Results
N(E_F), states/eV/cell: 55.0
Energy relative to the elements, eV per atom: -0.2828

a b c (Å): 8.498 8.498 8.498
angles (deg): 90.00 90.00 90.00
Space group F-43m (No. 216)
One atom of each set of equivalent atoms:
Rb  0.000  0.000  0.000 (multiplicity 4)
Na  0.250  0.250  0.250 (multiplicity 4)
Eu  0.000  0.000  0.500 (multiplicity 4)
Bi  0.250  0.250  0.750 (multiplicity 4)